--- P ---
The following is a DFT calculation (PBE-GGA) of an optimized crystal structure of Ti3AsS.

a = 4.471 Å, b = 4.471 Å, c = 4.471 Å
α = 90.00°, β = 90.00°, γ = 90.00°
Atoms (fractional coordinates):
Ti 0.000 0.000 0.500
Ti 0.000 0.500 0.000
Ti 0.500 0.000 0.000
As 0.500 0.500 0.500
S 0.000 0.000 0.000

Calculated values
crystal system	cubic
total moment	0.867	Bohr magnetons per cell
space-group type	Pm-3m

--- Q ---
The following is a DFT calculation (PBE-GGA) of an optimized crystal structure of Ti3AsS.

a = 7.348 Å, b = 7.348 Å, c = 4.311 Å
α = 90.00°, β = 90.00°, γ = 131.87°
Atoms (fractional coordinates):
Ti 0.000 0.500 0.500
Ti 0.178 0.822 0.000
Ti 0.293 0.293 0.500
Ti 0.500 0.000 0.500
Ti 0.707 0.707 0.500
Ti 0.822 0.178 0.000
As 0.374 0.626 0.000
As 0.626 0.374 0.000
S 0.113 0.887 0.500
S 0.887 0.113 0.500

Calculated values
crystal system	orthorhombic
total moment	0.000	Bohr magnetons per cell
space-group type	Cmmm

Which one is most stable, and which one is least stable? Q is the most stable of them, while P is the least stable.

--- P ---
The following is a DFT calculation (PBE-GGA) of an optimized crystal structure of Ti2As2S.

a = 6.824 Å, b = 6.824 Å, c = 3.570 Å
α = 90.00°, β = 90.00°, γ = 90.00°
Atoms (fractional coordinates):
Ti 0.161 0.339 0.000
Ti 0.339 0.839 0.000
Ti 0.661 0.161 0.000
Ti 0.839 0.661 0.000
As 0.135 0.635 0.500
As 0.365 0.135 0.500
As 0.635 0.865 0.500
As 0.865 0.365 0.500
S 0.000 0.000 0.000
S 0.500 0.500 0.000

Calculated values
crystal system	tetragonal
total moment	0.000	Bohr magnetons per cell
space-group type	P4/mbm

--- Q ---
The following is a DFT calculation (PBE-GGA) of an optimized crystal structure of Ti2As2S.

a = 6.978 Å, b = 5.165 Å, c = 10.712 Å
α = 90.00°, β = 90.00°, γ = 90.00°
Atoms (fractional coordinates):
Ti 0.103 0.250 0.249
Ti 0.137 0.250 0.579
Ti 0.363 0.750 0.079
Ti 0.397 0.750 0.749
Ti 0.603 0.250 0.251
Ti 0.637 0.250 0.921
Ti 0.863 0.750 0.421
Ti 0.897 0.750 0.751
As 0.103 0.750 0.247
As 0.156 0.750 0.568
As 0.344 0.250 0.068
As 0.397 0.250 0.747
As 0.603 0.750 0.253
As 0.656 0.750 0.932
As 0.844 0.250 0.432
As 0.897 0.250 0.753
S 0.150 0.750 0.903
S 0.350 0.250 0.403
S 0.650 0.750 0.597
S 0.850 0.250 0.097

Calculated values
crystal system	orthorhombic
total moment	0.000	Bohr magnetons per cell
space-group type	Pnma

Which one is most stable, and which one is least stable? Q is the most stable of them, while P is the least stable.